Record 1
A relaxed structure of La6MgGa2, computed with GGA-PBE.

The structure belongs to space group Immm (No. 71); the cell edges are 10.240, 10.345 and 11.014 Å and the angles 90.00°, 90.00° and 90.00°. The inequivalent atoms are La at (0.000, 0.207, 0.176), La at (0.178, 0.224, 0.500), La at (0.204, 0.500, 0.253), Mg at (0.000, 0.500, 0.000), Mg at (0.000, 0.500, 0.500), Ga at (0.000, 0.000, 0.381) and Ga at (0.145, 0.000, 0.000).

The calculation puts the volume at 32.41 A^3/atom. Its total moment is 0.00 μB/f.u. As for the uncorrected energy: -4.40 eV/atom.



Record 2
A relaxed structure of BeCdTeO6, computed with GGA-PBE.

The structure belongs to space group P-31c (No. 163); the cell edges are 5.0494, 5.0494 and 9.4535 Å and the angles 90.00°, 90.00° and 120.00°. The inequivalent atoms are Be at (0.3333, 0.6667, 0.2500), Cd at (0.0000, 0.0000, 0.0000), Te at (0.3333, 0.6667, 0.7500) and O at (0.0135, 0.3745, 0.1418).

The calculation puts the volume at 11.60 A^3/atom. Its total moment is 2.03 μB/f.u. Its raw formation energy is -964 meV/atom.



Record 3
A relaxed structure of UPaNb, computed with GGA-PBE.

The structure belongs to space group P3m1 (No. 156); the cell edges are 4.8736, 4.8736 and 3.1029 Å and the angles 90.00°, 90.00° and 120.00°. The inequivalent atoms are U at (0.0000, 0.0000, 0.0000), Pa at (0.6667, 0.3333, 0.2827) and Nb at (0.3333, 0.6667, 0.6652).

The calculation puts the volume at 21.28 A^3/atom. Its total moment is 0.62 μB/f.u. The value obtained for the polymorph energy (0 for the lowest one) is 0.060 eV/atom.